# 1
Density functional theory data (SCAN) for a PBEsol-optimized structure of B5H8.

abc: 5.698 10.657 14.679
angles: 90.00 90.00 90.00
Sites, in units of the cell vectors:
H1 0.705 0.696 0.426
H2 0.089 0.538 0.108
H3 0.627 0.413 0.725
H4 0.238 0.933 0.586
H5 0.699 0.637 0.827
H6 0.086 0.391 0.831
H7 0.762 0.067 0.086
H8 0.551 0.388 0.194
H9 0.199 0.863 0.327
H10 0.301 0.363 0.327
H11 0.122 0.991 0.461
H12 0.262 0.433 0.586
H13 0.426 0.235 0.527
H14 0.873 0.913 0.725
H15 0.075 0.294 0.425
H16 0.561 0.579 0.345
H17 0.717 0.323 0.844
H18 0.586 0.109 0.331
H19 0.462 0.467 0.082
H20 0.373 0.587 0.225
H21 0.538 0.533 0.582
H22 0.914 0.609 0.331
H23 0.879 0.219 0.600
H24 0.801 0.137 0.827
H25 0.738 0.567 0.086
H26 0.260 0.113 0.934
H27 0.589 0.962 0.608
H28 0.783 0.823 0.844
H29 0.760 0.387 0.434
H30 0.061 0.921 0.845
H31 0.621 0.719 0.600
H32 0.172 0.511 0.697
H33 0.740 0.887 0.434
H34 0.939 0.079 0.345
H35 0.828 0.489 0.197
H36 0.379 0.281 0.100
H37 0.439 0.421 0.845
H38 0.425 0.794 0.425
H39 0.378 0.491 0.461
H40 0.051 0.112 0.694
H41 0.449 0.612 0.694
H42 0.926 0.265 0.027
H43 0.949 0.888 0.194
H44 0.911 0.462 0.608
H45 0.295 0.304 0.926
H46 0.795 0.196 0.426
H47 0.574 0.765 0.027
H48 0.925 0.706 0.925
H49 0.240 0.613 0.934
H50 0.038 0.967 0.082
H51 0.205 0.804 0.926
H52 0.411 0.038 0.108
H53 0.878 0.009 0.961
H54 0.127 0.087 0.225
H55 0.414 0.891 0.831
H56 0.575 0.206 0.925
H57 0.217 0.177 0.344
H58 0.328 0.011 0.697
H59 0.121 0.781 0.100
H60 0.622 0.509 0.961
H61 0.672 0.989 0.197
H62 0.962 0.033 0.582
H63 0.074 0.735 0.527
H64 0.283 0.677 0.344
B1 0.455 0.653 0.283
B2 0.866 0.705 0.835
B3 0.335 0.531 0.535
B4 0.322 0.157 0.570
B5 0.233 0.834 0.837
B6 0.143 0.692 0.890
B7 0.595 0.984 0.111
B8 0.119 0.715 0.775
B9 0.042 0.149 0.607
B10 0.643 0.808 0.390
B11 0.678 0.843 0.070
B12 0.366 0.795 0.335
B13 0.165 0.031 0.535
B14 0.178 0.657 0.570
B15 0.357 0.192 0.890
B16 0.634 0.205 0.835
B17 0.381 0.215 0.775
B18 0.405 0.016 0.611
B19 0.835 0.969 0.035
B20 0.955 0.847 0.783
B21 0.619 0.785 0.275
B22 0.134 0.295 0.335
B23 0.045 0.153 0.283
B24 0.905 0.484 0.111
B25 0.767 0.166 0.337
B26 0.857 0.308 0.390
B27 0.714 0.864 0.184
B28 0.881 0.285 0.275
B29 0.786 0.364 0.184
B30 0.545 0.347 0.783
B31 0.542 0.351 0.107
B32 0.458 0.649 0.607
B33 0.733 0.666 0.337
B34 0.214 0.636 0.684
B35 0.267 0.334 0.837
B36 0.822 0.343 0.070
B37 0.665 0.469 0.035
B38 0.095 0.516 0.611
B39 0.958 0.851 0.107
B40 0.286 0.136 0.684

As for the electronic total energy: -5.05 eV/atom. As for the symmetry: Pna2_1 (33).

---

# 2
Density functional theory data (SCAN) for a PBEsol-optimized structure of BaSi3Tc.

abc: 5.285 5.285 5.285
angles: 90.00 90.00 90.00
Sites, in units of the cell vectors:
Ba1 0.000 0.000 0.000
Si1 0.500 0.000 0.000
Si2 0.000 0.500 0.000
Si3 0.000 0.000 0.500
Tc1 0.500 0.500 0.500

The calculation puts the uncorrected formation energy at 2.62 eV/atom. As for the electronic total energy: -18.31 eV/atom. As for the symmetry: Pm-3m (221).

---

# 3
Density functional theory data (SCAN) for a PBEsol-optimized structure of CuNi2.

abc: 2.453 4.755 5.876
angles: 104.87 90.00 104.95
Sites, in units of the cell vectors:
Ni1 0.301 0.602 0.859
Ni2 0.641 0.282 0.526
Ni3 0.359 0.718 0.474
Ni4 0.699 0.398 0.141
Cu1 0.027 0.055 0.806
Cu2 0.973 0.945 0.194

The energy of formation comes out at 0.074 eV per atom. As for the electronic total energy: -15.77 eV/atom. As for the symmetry: C2/m (12).

---

# 4
Density functional theory data (SCAN) for a PBEsol-optimized structure of CdPtAu2.

abc: 3.434 3.434 5.761
angles: 90.00 90.00 90.00
Sites, in units of the cell vectors:
Au1 0.000 0.000 0.998
Au2 0.500 0.500 0.245
Cd1 0.000 0.000 0.507
Pt1 0.500 0.500 0.750

The energy of formation comes out at -0.121 eV per atom. As for the electronic total energy: -59.85 eV/atom. As for the symmetry: P4mm (99).